# 1
# Ba2CuHAu

Ba2CuHAu after structural relaxation (PBE-GGA, the Alexandria database).

Calculated values
Magnetic moment ... 0.00 μB/cell
Uncorrected energy ... -3.1655 eV/atom
D(E_F) ... 3.9 states/eV/f.u.
Energy above the most stable polymorph in this dataset ... 0.068 eV per atom

Lattice parameters (Å, degrees): 5.7481 5.7481 3.9632 90.00 90.00 90.00
Atoms (fractional coordinates):
H: 0.0000 0.0000 0.0000
Au: 0.0000 0.0000 0.5000
Ba: 0.0000 0.5000 0.0000
Ba: 0.5000 0.0000 0.0000
Cu: 0.5000 0.5000 0.5000

=====

# 2
# BaCuHg2Au

BaCuHg2Au after structural relaxation (PBE-GGA, the Alexandria database).

Calculated values
Magnetic moment ... 0.00 μB/cell
ΔH_f (0 K) ... -0.27 eV per atom
Uncorrected energy ... -2.2450 eV/atom
D(E_F) ... 2.9 states/eV/f.u.

Lattice parameters (Å, degrees): 5.1252 5.1252 5.1979 90.00 90.00 90.00
Atoms (fractional coordinates):
Au: 0.0000 0.0000 0.5000
Hg: 0.0000 0.5000 0.0000
Hg: 0.5000 0.0000 0.0000
Cu: 0.0000 0.0000 0.0000
Ba: 0.5000 0.5000 0.5000

=====

# 3
# BaCuHgAu2

BaCuHgAu2 after structural relaxation (PBE-GGA, the Alexandria database).

Calculated values
Magnetic moment ... 0.00 μB/cell
ΔH_f (0 K) ... -0.31 eV per atom
Uncorrected energy ... -2.8817 eV/atom
D(E_F) ... 1.6 states/eV/f.u.

Lattice parameters (Å, degrees): 5.1012 5.1012 5.0386 90.00 90.00 90.00
Atoms (fractional coordinates):
Au: 0.0000 0.5000 0.0000
Au: 0.5000 0.0000 0.0000
Hg: 0.0000 0.0000 0.5000
Cu: 0.0000 0.0000 0.0000
Ba: 0.5000 0.5000 0.5000

=====

Look up the magnetic moment of the first one.
0.00 μB/cell

=====

magnetic moment of number 2 (BaCuHg2Au)?
0.00 μB/cell

=====

Look up the magnetic moment of the second one.
0.00 μB/cell

=====

Please write out number 3 again, unchanged.
# BaCuHgAu2

BaCuHgAu2 after structural relaxation (PBE-GGA, the Alexandria database).

Calculated values
Magnetic moment ... 0.00 μB/cell
ΔH_f (0 K) ... -0.31 eV per atom
Uncorrected energy ... -2.8817 eV/atom
D(E_F) ... 1.6 states/eV/f.u.

Lattice parameters (Å, degrees): 5.1012 5.1012 5.0386 90.00 90.00 90.00
Atoms (fractional coordinates):
Au: 0.0000 0.5000 0.0000
Au: 0.5000 0.0000 0.0000
Hg: 0.0000 0.0000 0.5000
Cu: 0.0000 0.0000 0.0000
Ba: 0.5000 0.5000 0.5000